VASP calculation (meta-GGA SCAN) on MnTe2W at its PBEsol-relaxed geometry.

Computed properties:
Formation energy without anion corrections in eV/atom: 0.797
Energy above the lowest structure with this stoichiometry in meV per atom: 664
Calculated total energy in eV/atom: -39.814

Cell: 3.177 3.177 8.695 Å, 90.00 90.00 115.94°
Last column: magnetic moment on the atom in μB.
Fractional positions:
Mn 0.500 0.500 0.000  3.94
Te 0.000 0.000 0.249  0.00
Te 0.000 0.000 0.751  0.00
W 0.500 0.500 0.500  -0.05

***

VASP calculation (meta-GGA SCAN) on CaTaIr2 at its PBEsol-relaxed geometry.

Computed properties:
Energy above the lowest structure with this stoichiometry in meV per atom: 296
Calculated total energy in eV/atom: -54.939
DFT formation energy in kJ/mol of formula units: -126.6

Cell: 4.566 4.566 4.566 Å, 60.00 60.00 60.00°
Fractional positions:
Ca 0.000 0.000 0.000
Ir 0.250 0.250 0.250
Ir 0.750 0.750 0.750
Ta 0.500 0.500 0.500